Computed, not measured: a geometry-optimized CsSn2PbBr8 structure at the PBE-GGA level of DFT.

Cell lengths 7.304, 7.386, 9.915 Å; angles 79.25, 81.68, 82.07 degrees
Positions (direct):
Cs1 0.000 0.000 0.000
Sn1 0.470 0.453 0.241
Sn2 0.530 0.547 0.759
Pb1 0.000 0.000 0.500
Br1 0.164 0.720 0.731
Br2 0.215 0.772 0.300
Br3 0.319 0.234 0.472
Br4 0.376 0.284 0.042
Br5 0.624 0.716 0.958
Br6 0.681 0.766 0.528
Br7 0.785 0.228 0.700
Br8 0.836 0.280 0.269

Values from the calculation:
DOS at the Fermi energy   6.6 states/eV per cell
Symmetry   P-1

***

Computed, not measured: a geometry-optimized Cs3SrPb2Br9 structure at the PBE-GGA level of DFT.

Cell lengths 8.507, 8.507, 10.396 Å; angles 90.00, 90.00, 120.00 degrees
Positions (direct):
Cs1 0.000 0.000 0.000
Cs2 0.333 0.667 0.668
Cs3 0.667 0.333 0.332
Sr1 0.000 0.000 0.500
Pb1 0.333 0.667 0.166
Pb2 0.667 0.333 0.834
Br1 0.000 0.500 0.000
Br2 0.167 0.334 0.333
Br3 0.167 0.833 0.333
Br4 0.334 0.167 0.667
Br5 0.500 0.000 0.000
Br6 0.500 0.500 0.000
Br7 0.666 0.833 0.333
Br8 0.833 0.167 0.667
Br9 0.833 0.666 0.667

Values from the calculation:
DOS at the Fermi energy   0.0 states/eV per cell
Symmetry   P-3m1

***

Sequential electronic total energy output: -36.60, -49.52 eV per cell
Sequential uncorrected formation energy output: -888, -1521 meV/atom